1.
A relaxed structure of TbDy2Ir3. Source: Alexandria via LeMat-Bulk, functional PBE.

Results
Space group = P-3m1
Calculated density = 14.5 g/cm³
Energy of formation from the pure elements = -0.80 eV/atom
DOS(E_F) = 2.76 states/eV/cell

Cell lengths 4.857, 4.857, 5.942 Å; angles 90.00, 90.00, 120.00 degrees
Fractional positions:
Ir 0.000 0.000 0.500
Ir 0.333 0.667 0.168
Dy 0.667 0.333 0.334
Dy 0.333 0.667 0.666
Tb 0.000 0.000 0.000
Ir 0.667 0.333 0.832

***

2.
A relaxed structure of Tb2Dy3Ir2. Source: Alexandria via LeMat-Bulk, functional PBE.

Results
Space group = C2/m
Calculated density = 10.7 g/cm³
Energy of formation from the pure elements = -0.62 eV/atom
DOS(E_F) = 6.54 states/eV/cell

Cell lengths 3.844, 6.332, 8.879 Å; angles 114.87, 90.00, 107.67 degrees
Fractional positions:
Ir 0.823 0.646 0.762
Ir 0.177 0.354 0.238
Dy 0.500 0.000 0.000
Dy 0.619 0.237 0.430
Tb 0.168 0.335 0.807
Dy 0.381 0.763 0.570
Tb 0.832 0.665 0.193

***

3.
A relaxed structure of TbDy3Ir2. Source: Alexandria via LeMat-Bulk, functional PBE.

Results
Space group = Ibam
Calculated density = 10.6 g/cm³
Energy of formation from the pure elements = -0.64 eV/atom
DOS(E_F) = 10.22 states/eV/cell

Cell lengths 6.773, 7.043, 8.372 Å; angles 114.87, 113.86, 90.00 degrees
Fractional positions:
Ir 0.149 0.862 0.724
Dy 0.500 0.250 0.000
Dy 0.235 0.485 0.471
Tb 0.000 0.000 0.000
Tb 0.000 0.500 0.000
Ir 0.575 0.362 0.724
Dy 0.235 0.985 0.471
Dy 0.765 0.015 0.529
Ir 0.851 0.138 0.276
Ir 0.425 0.638 0.276
Dy 0.500 0.750 0.000
Dy 0.765 0.515 0.529

***

4.
A relaxed structure of Tb8DyIr6. Source: Alexandria via LeMat-Bulk, functional PBE.

Results
Space group = R-3
Calculated density = 11.9 g/cm³
Energy of formation from the pure elements = -0.77 eV/atom
DOS(E_F) = 10.08 states/eV/cell

Cell lengths 7.702, 7.702, 7.702 Å; angles 65.24, 65.24, 65.24 degrees
Fractional positions:
Tb 0.221 0.555 0.888
Tb 0.445 0.112 0.779
Tb 0.667 0.667 0.667
Tb 0.333 0.333 0.333
Tb 0.555 0.888 0.221
Dy 0.000 0.000 0.000
Ir 0.610 0.276 0.943
Ir 0.390 0.724 0.057
Ir 0.943 0.610 0.276
Ir 0.276 0.943 0.610
Tb 0.779 0.445 0.112
Tb 0.112 0.779 0.445
Ir 0.724 0.057 0.390
Tb 0.888 0.221 0.555
Ir 0.057 0.390 0.724

***

5.
A relaxed structure of TbDy2Ir2. Source: Alexandria via LeMat-Bulk, functional PBE.

Results
Space group = P-3m1
E above lowest polymorph = 0.000 eV per atom
Calculated density = 12.1 g/cm³
Energy of formation from the pure elements = -0.78 eV/atom
DOS(E_F) = 3.11 states/eV/cell

Cell lengths 4.775, 4.775, 6.034 Å; angles 89.99, 89.99, 59.99 degrees
Fractional positions:
Dy 0.167 0.667 0.336
Dy 0.833 0.333 0.664
Ir 0.833 0.333 0.172
Ir 0.167 0.667 0.828
Tb 0.500 0.000 0.000

***

6.
A relaxed structure of Tb5DyIr6. Source: Alexandria via LeMat-Bulk, functional PBE.

Results
Space group = P2/m
Calculated density = 14.4 g/cm³
Energy of formation from the pure elements = -0.79 eV/atom
DOS(E_F) = 3.63 states/eV/cell

Cell lengths 4.756, 7.181, 7.529 Å; angles 90.00, 71.50, 90.00 degrees
Fractional positions:
Ir 0.834 0.250 0.333
Dy 0.000 0.000 0.000
Ir 0.166 0.750 0.667
Ir 0.166 0.250 0.667
Ir 0.834 0.750 0.333
Tb 0.667 0.000 0.667
Tb 0.000 0.500 0.000
Tb 0.667 0.500 0.667
Ir 0.500 0.751 0.000
Tb 0.333 0.000 0.333
Ir 0.500 0.249 0.000
Tb 0.333 0.500 0.333

***

- What is the formula in the fifth record?
  TbDy2Ir2

***

What did the first record say?
A relaxed structure of TbDy2Ir3. Source: Alexandria via LeMat-Bulk, functional PBE.

Results
Space group = P-3m1
Calculated density = 14.5 g/cm³
Energy of formation from the pure elements = -0.80 eV/atom
DOS(E_F) = 2.76 states/eV/cell

Cell lengths 4.857, 4.857, 5.942 Å; angles 90.00, 90.00, 120.00 degrees
Fractional positions:
Ir 0.000 0.000 0.500
Ir 0.333 0.667 0.168
Dy 0.667 0.333 0.334
Dy 0.333 0.667 0.666
Tb 0.000 0.000 0.000
Ir 0.667 0.333 0.832

***

- Which of these has the highest DOS(E_F)?
  TbDy3Ir2

***

- Among the records above, which one has the highest energy of formation from the pure elements?
  Tb2Dy3Ir2